No. 1
Entry from Alexandria: a geometry-optimized CsNpAgSe4 structure (PBE).

a b c (Å): 7.4115 5.7292 10.2718
angles (deg): 90.00 107.95 90.00
Closest atoms and distances in Å follow each position.
Space group P2_1/m (No. 11)
Asymmetric unit:
Cs1 0.2335 0.2500 0.0470  6 Se 3.51-3.90
Np1 0.2695 0.2500 0.5529  6 Se 2.73-3.03
Ag1 0.2620 0.7500 0.3158  4 Se 2.53-2.64
Se1 0.0277 0.5165 0.6821  1 Ag 2.64, 1 Se 2.68
Se2 0.4381 0.7500 0.5807  1 Ag 2.63, 1 Np 2.90
Se3 0.4983 0.7500 0.1825  1 Ag 2.53, 1 Np 2.73

Calculated values
DOS at the Fermi energy: 1.5030 states/eV per atom
total DFT energy (no corrections): -5.124 eV per atom


No. 2
Entry from Alexandria: a geometry-optimized Cs3NpAg2Se6 structure (PBE).

a b c (Å): 8.0326 8.0326 9.3128
angles (deg): 90.00 90.00 120.00
Closest atoms and distances in Å follow each position.
Space group P-3m1 (No. 164)
Asymmetric unit:
Cs1 0.0000 0.0000 0.0000  6 Se 3.64
Cs2 0.3333 0.6667 0.6802  1 Ag 3.48
Np1 0.0000 0.0000 0.5000  6 Se 2.70
Ag1 0.3333 0.6667 0.3070  3 Se 2.53
Se1 0.1515 0.3030 0.3184  1 Ag 2.53, 1 Np 2.70

Calculated values
DOS at the Fermi energy: 0.6343 states/eV per atom
total DFT energy (no corrections): -4.245 eV per atom